Material: VCd2N2
Method: DFT, PBE-GGA
State: relaxed

Relative energy among the computed polymorphs (eV/f.u.): 0.00
Volume (Å³ per cell): 148
Theoretical density (g/cm3): 6.82

Geometry as CIF:
```
data_VCd2N2
_chemical_formula_sum 'V2 Cd4 N4'
_cell_length_a 5.547
_cell_length_b 5.547
_cell_length_c 4.807
_cell_angle_alpha 90.00
_cell_angle_beta 90.00
_cell_angle_gamma 90.00
_space_group_name_H-M_alt 'P 4/m b m'
_space_group_IT_number 127
_space_group_name_Hall '-P 4 2ab'
loop_
_atom_site_label
_atom_site_fract_x
_atom_site_fract_y
_atom_site_fract_z
V1 0.000 0.000 0.000
Cd1 0.184 0.316 0.500
N1 0.242 0.258 0.000
```

=====

Material: ZrCo2RuW
Method: DFT, PBE-GGA
State: relaxed

Volume (Å³ per cell): 91
Theoretical density (g/cm3): 9.06
E_form (eV/atom): 1.848

Geometry as CIF:
```
data_ZrCo2RuW
_chemical_formula_sum 'Zr1 Co2 Ru1 W1'
_cell_length_a 4.386
_cell_length_b 4.386
_cell_length_c 4.706
_cell_angle_alpha 90.00
_cell_angle_beta 90.00
_cell_angle_gamma 90.00
_space_group_name_H-M_alt 'P 4/m m m'
_space_group_IT_number 123
_space_group_name_Hall '-P 4 2'
loop_
_atom_site_label
_atom_site_fract_x
_atom_site_fract_y
_atom_site_fract_z
Zr1 0.000 0.000 0.000
Co1 0.000 0.500 0.000
Ru1 0.000 0.000 0.500
W1 0.500 0.500 0.500
```

=====

Material: Ta3Zn5
Method: DFT, PBE-GGA
State: relaxed

Relative energy among the computed polymorphs (eV/f.u.): 2.14
Volume (Å³ per cell): 268
Theoretical density (g/cm3): 10.80
E_form (eV/atom): 0.298

Geometry as CIF:
```
data_Ta3Zn5
_chemical_formula_sum 'Ta6 Zn10'
_cell_length_a 7.8466
_cell_length_b 7.8466
_cell_length_c 5.0177
_cell_angle_alpha 90.00
_cell_angle_beta 90.00
_cell_angle_gamma 120.00
_space_group_name_H-M_alt 'P 63/m c m'
_space_group_IT_number 193
_space_group_name_Hall '-P 6c 2'
loop_
_atom_site_label
_atom_site_fract_x
_atom_site_fract_y
_atom_site_fract_z
Ta1 0.0000 0.4096 0.2500
Zn1 0.0000 0.2070 0.7500
Zn2 0.3333 0.6667 0.0000
```